## La2Sm2Ho3 (PBE)

Data for crystalline La2Sm2Ho3 at its relaxed geometry.

Structure (POSCAR):
```
La2Sm2Ho3
1.0
5.661 -0.805 -2.587
-3.462 5.135 1.015
-1.365 1.117 9.454
Ho Sm La
3 2 2
direct
0.715 0.856 0.571 Ho
0.000 0.000 0.000 Ho
0.285 0.144 0.429 Ho
0.430 0.714 0.144 Sm
0.570 0.286 0.856 Sm
0.856 0.430 0.286 La
0.144 0.570 0.714 La
```

SG   No. 12
Energy relative to the lowest polymorph listed for this composition   0 meV per atom
Calculated total energy   -4.687 eV per atom
Energy of formation   0.03 eV per atom